# DyWBrO4 | the Alexandria database | PBE+U | relaxed
data_DyWBrO4
_cell_length_a 7.063
_cell_length_b 7.358
_cell_length_c 11.035
_cell_angle_alpha 74.39
_cell_angle_beta 71.63
_cell_angle_gamma 84.88
_space_group_name_H-M_alt 'P -1'
_space_group_IT_number 2
loop_
_space_group_symop_operation_xyz
'x,y,z'
'-x,-y,-z'
loop_
_atom_site_label
_atom_site_type_symbol
_atom_site_fract_x
_atom_site_fract_y
_atom_site_fract_z
_atom_site_occupancy
Dy1 Dy 0.062 0.096 0.270 1
Dy2 Dy 0.393 0.665 0.235 1
W1 W 0.136 0.418 0.624 1
W2 W 0.410 0.817 0.867 1
Br1 Br 0.209 0.272 0.988 1
Br2 Br 0.252 0.029 0.482 1
O1 O 0.031 0.613 0.695 1
O2 O 0.050 0.777 0.293 1
O3 O 0.207 0.890 0.798 1
O4 O 0.211 0.505 0.445 1
O5 O 0.310 0.741 0.044 1
O6 O 0.361 0.351 0.668 1
O7 O 0.405 0.989 0.193 1
O8 O 0.459 0.376 0.198 1
# Size of the total moment ... 0.00 μB/atom
# Total DFT energy (no corrections) ... -7.1390 eV/atom